Material: LuNiSnPd
Method: DFT, PBE
State: optimized geometry

Output
Relative energy among the computed polymorphs   0.0000 eV/atom
E_tot   -22.0 eV/cell

a = 4.646 Å, b = 4.646 Å, c = 4.646 Å
α = 60.00°, β = 60.00°, γ = 60.00°
Atoms (fractional coordinates):
Lu  0.000  0.000  0.000
Ni  0.750  0.750  0.750
Sn  0.500  0.500  0.500
Pd  0.250  0.250  0.250